(1)
! Ce2CdSb4 (GGA-PBEsol, relaxed); values from VASP
&SYSTEM
  ibrav = 0, nat = 7, ntyp = 3
/
ATOMIC_SPECIES
Ce 140.12 Ce.upf
Cd 112.41 Cd.upf
Sb 121.76 Sb.upf
CELL_PARAMETERS angstrom
4.335 0.000 0.000
0.000 4.335 0.000
0.000 0.000 10.231
ATOMIC_POSITIONS angstrom
Ce 0.000 2.167 2.418
Ce 2.167 0.000 7.813
Cd 2.167 2.167 5.115
Sb 0.000 0.000 0.000
Sb 0.000 2.167 6.964
Sb 2.167 0.000 3.267
Sb 2.167 2.167 0.000
! Uncorrected formation energy: -0.668 eV/atom
! Space-group type: P-4m2
! D(E_F): 1.485 states/eV per atom
! Volume: 192.2 Å³/cell



(2)
! CeTlCd (GGA-PBEsol, relaxed); values from VASP
&SYSTEM
  ibrav = 0, nat = 6, ntyp = 3
/
ATOMIC_SPECIES
Ce 140.12 Ce.upf
Tl 204.38 Tl.upf
Cd 112.41 Cd.upf
CELL_PARAMETERS angstrom
5.064 0.000 0.000
-2.532 4.386 0.000
0.000 0.000 6.612
ATOMIC_POSITIONS angstrom
Ce 0.000 0.000 0.000
Ce 0.000 0.000 3.306
Tl 0.000 2.924 1.653
Tl 2.532 1.462 4.959
Cd 0.000 2.924 4.959
Cd 2.532 1.462 1.653
! Space-group type: P6_3/mmc
! D(E_F): 2.163 states/eV per atom
! Volume: 146.9 Å³/cell



(3)
! Cd3Cl (GGA-PBEsol, relaxed); values from VASP
&SYSTEM
  ibrav = 0, nat = 4, ntyp = 2
/
ATOMIC_SPECIES
Cd 112.41 Cd.upf
Cl 35.45 Cl.upf
CELL_PARAMETERS angstrom
3.154 0.000 0.000
0.000 5.620 0.000
-0.226 0.000 4.986
ATOMIC_POSITIONS angstrom
Cd 0.000 0.000 0.000
Cd 0.704 2.810 1.266
Cd 2.224 2.810 3.720
Cl 1.464 0.000 2.493
! Uncorrected formation energy: -0.123 eV/atom
! Space-group type: P2/m
! D(E_F): 0.453 states/eV per atom
! Volume: 88.4 Å³/cell



For reference, uncorrected energy by record: -5.33, -3.70, -1.52 eV/atom.